KNiBr, relaxed, DFT PBE; formation energy from raw total energies = -0.11 eV per atom; SG = No. 42; E above lowest polymorph = 0.321 eV per atom; calculated total energy = -2.9587 eV per atom
1.0
0.000 4.872 5.770
2.169 0.000 5.770
2.169 4.872 0.000
K Ni Br
1 1 1
Cartesian
0.000 0.000 0.000
2.169 4.872 8.375
2.169 4.872 3.179

=====

KNiBr, relaxed, DFT PBE; formation energy from raw total energies = 0.41 eV per atom; SG = No. 216; E above lowest polymorph = 0.843 eV per atom; calculated total energy = -2.4366 eV per atom
1.0
0.000 3.793 3.793
3.793 0.000 3.793
3.793 3.793 0.000
K Ni Br
1 1 1
Cartesian
0.000 0.000 0.000
5.690 5.690 5.690
1.897 1.897 1.897

=====

Q: Which of these has the highest calculated total energy?
A: number 2